An optimized crystal structure of Sc3P. Source: Alexandria, functional PBE-GGA.

The energy above the lowest structure with this stoichiometry is 1.370 eV/f.u. The total DFT energy (no corrections) is -6.57 eV per atom. As for the calculated formation energy: -0.47 eV/atom.

Lattice parameters (Å, degrees): 4.0623 4.0623 9.4637 90.00 90.00 90.00
With the nearest neighbours (Å) after each atom.
Space group I4/mmm (No. 139)
Inequivalent atoms, fractional coordinates:
Sc: 0.0000 0.0000 0.0000 x2  4 P 2.87, 8 Sc 3.12
Sc: 0.0000 0.5000 0.2500 x4  8 Sc 2.87-3.12, 4 P 3.12
P: 0.0000 0.0000 0.5000 x2  12 Sc 2.87-3.12